Entry 1:
Computed, not measured: an optimized crystal structure of InRe2Mo at the PBE level of DFT. Values from VASP.

Calculated values
* space-group type: I-42d
* energy of formation: 1010 meV per atom

```
&SYSTEM
  ibrav = 0, nat = 8, ntyp = 3
/
ATOMIC_SPECIES
In 114.82 In.upf
Re 186.21 Re.upf
Mo 95.94 Mo.upf
CELL_PARAMETERS angstrom
-3.749 3.749 2.685
3.749 -3.749 2.685
3.749 3.749 -2.685
ATOMIC_POSITIONS crystal
In 0.000 0.000 0.000
In 0.750 0.250 0.500
Re 0.178 0.625 0.053
Re 0.375 0.428 0.553
Re 0.572 0.125 0.947
Re 0.875 0.822 0.447
Mo 0.250 0.750 0.500
Mo 0.500 0.500 0.000
```



Entry 2:
Computed, not measured: an optimized crystal structure of Li3Mg2Ga at the PBE level of DFT. Values from VASP.

Calculated values
* relative energy among the computed polymorphs: 0.096 eV/atom
* space-group type: C2/m
* energy of formation: -53 meV per atom

```
&SYSTEM
  ibrav = 0, nat = 12, ntyp = 3
/
ATOMIC_SPECIES
Li 6.94 Li.upf
Mg 24.30 Mg.upf
Ga 69.72 Ga.upf
CELL_PARAMETERS angstrom
10.473 -1.588 0.000
10.473 1.588 0.000
-0.056 0.000 7.321
ATOMIC_POSITIONS crystal
Li 0.054 0.054 0.075
Li 0.246 0.246 0.335
Li 0.375 0.375 0.680
Li 0.625 0.625 0.320
Li 0.754 0.754 0.665
Li 0.946 0.946 0.925
Mg 0.183 0.183 0.966
Mg 0.451 0.451 0.284
Mg 0.549 0.549 0.716
Mg 0.817 0.817 0.034
Ga 0.151 0.151 0.600
Ga 0.849 0.849 0.400
```



Entry 3:
Computed, not measured: an optimized crystal structure of SrCd2F7 at the PBE level of DFT. Values from VASP.

Calculated values
* relative energy among the computed polymorphs: 0.063 eV/atom
* space-group type: Cmmm
* formation energy from raw total energies: -2.386 eV/atom

```
&SYSTEM
  ibrav = 0, nat = 10, ntyp = 3
/
ATOMIC_SPECIES
Sr 87.62 Sr.upf
Cd 112.41 Cd.upf
F 19.00 F.upf
CELL_PARAMETERS angstrom
3.502 -5.486 0.000
3.502 5.486 0.000
0.000 0.000 4.152
ATOMIC_POSITIONS crystal
Sr 0.000 0.000 0.000
Cd 0.298 0.702 0.500
Cd 0.702 0.298 0.500
F 0.066 0.310 0.500
F 0.238 0.762 0.000
F 0.310 0.066 0.500
F 0.500 0.500 0.500
F 0.690 0.934 0.500
F 0.762 0.238 0.000
F 0.934 0.690 0.500
```



Entry 4:
Computed, not measured: an optimized crystal structure of SrThNi2 at the PBE level of DFT. Values from VASP.

Calculated values
* space-group type: P4/mmm
* energy of formation: -218 meV per atom

```
&SYSTEM
  ibrav = 0, nat = 4, ntyp = 3
/
ATOMIC_SPECIES
Sr 87.62 Sr.upf
Th 232.04 Th.upf
Ni 58.69 Ni.upf
CELL_PARAMETERS angstrom
3.579 0.000 0.000
0.000 3.579 0.000
0.000 0.000 7.308
ATOMIC_POSITIONS crystal
Sr 0.000 0.000 0.000
Th 0.000 0.000 0.500
Ni 0.500 0.500 0.315
Ni 0.500 0.500 0.685
```



Entry 5:
Computed, not measured: an optimized crystal structure of TlRh4Br at the PBE level of DFT. Values from VASP.

Calculated values
* space-group type: F-43m
* formation energy from raw total energies: 0.628 eV/atom

```
&SYSTEM
  ibrav = 0, nat = 6, ntyp = 3
/
ATOMIC_SPECIES
Tl 204.38 Tl.upf
Rh 102.91 Rh.upf
Br 79.90 Br.upf
CELL_PARAMETERS angstrom
0.000 3.771 3.771
3.771 0.000 3.771
3.771 3.771 0.000
ATOMIC_POSITIONS crystal
Tl 0.000 0.000 0.000
Rh 0.375 0.375 0.375
Rh 0.375 0.375 0.874
Rh 0.375 0.874 0.375
Rh 0.874 0.375 0.375
Br 0.750 0.750 0.750
```



Entry 6:
Computed, not measured: an optimized crystal structure of BaLi2AgAu at the PBE level of DFT. Values from VASP.

Calculated values
* relative energy among the computed polymorphs: 0.000 eV/atom
* space-group type: P4/mmm
* energy of formation: -217 meV per atom

```
&SYSTEM
  ibrav = 0, nat = 5, ntyp = 4
/
ATOMIC_SPECIES
Ba 137.33 Ba.upf
Li 6.94 Li.upf
Ag 107.87 Ag.upf
Au 196.97 Au.upf
CELL_PARAMETERS angstrom
4.971 0.000 0.000
0.000 4.971 0.000
0.000 0.000 5.467
ATOMIC_POSITIONS crystal
Ba 0.000 0.000 0.000
Li 0.000 0.500 0.500
Li 0.500 0.000 0.500
Ag 0.500 0.500 0.000
Au 0.500 0.500 0.500
```



Entry 7:
Computed, not measured: an optimized crystal structure of AlCu2SiHg at the PBE level of DFT. Values from VASP.

Calculated values
* space-group type: P4/mmm
* formation energy from raw total energies: 1.000 eV/atom

```
&SYSTEM
  ibrav = 0, nat = 5, ntyp = 4
/
ATOMIC_SPECIES
Al 26.98 Al.upf
Cu 63.55 Cu.upf
Si 28.09 Si.upf
Hg 200.59 Hg.upf
CELL_PARAMETERS angstrom
4.899 0.000 0.000
0.000 4.899 0.000
0.000 0.000 4.819
ATOMIC_POSITIONS crystal
Al 0.000 0.000 0.000
Cu 0.000 0.500 0.500
Cu 0.500 0.000 0.500
Si 0.500 0.500 0.000
Hg 0.500 0.500 0.500
```



Entry 8:
Computed, not measured: an optimized crystal structure of NdGaPb at the PBE level of DFT. Values from VASP.

Calculated values
* relative energy among the computed polymorphs: 0.251 eV/atom
* space-group type: R-3m
* energy of formation: -227 meV per atom

```
&SYSTEM
  ibrav = 0, nat = 6, ntyp = 3
/
ATOMIC_SPECIES
Nd 144.24 Nd.upf
Ga 69.72 Ga.upf
Pb 207.20 Pb.upf
CELL_PARAMETERS angstrom
2.245 1.296 10.353
-2.245 1.296 10.353
0.000 -2.592 10.353
ATOMIC_POSITIONS crystal
Nd 0.089 0.089 0.089
Nd 0.911 0.911 0.911
Ga 0.186 0.186 0.186
Ga 0.814 0.814 0.814
Pb 0.358 0.358 0.358
Pb 0.642 0.642 0.642
```



| no. | total magnetic moment (μB per cell) | E (eV per atom) |
| --- | --- | --- |
| 1 | 0.00 | -8.607 |
| 2 | 0.00 | -2.046 |
| 3 | 1.05 | -4.047 |
| 4 | 0.00 | -5.384 |
| 5 | 1.87 | -4.947 |
| 6 | 0.00 | -2.593 |
| 7 | 0.00 | -2.532 |
| 8 | 0.00 | -4.062 |